The following is a DFT calculation (PBE) of a geometry-optimized Er6Mn23 structure.

a b c (Å): 8.4480 8.4480 8.4480
angles (deg): 60.00 60.00 60.00
Each line ends with the local moment (μB).
Positions (direct):
1 Er 0.7050 0.2950 0.2950  0.04
2 Er 0.7050 0.2950 0.7050  0.04
3 Er 0.7050 0.7050 0.2950  0.04
4 Er 0.2950 0.7050 0.7050  0.04
5 Er 0.2950 0.7050 0.2950  0.04
6 Er 0.2950 0.2950 0.7050  0.04
7 Mn 0.0000 0.0000 0.0000  -2.54
8 Mn 0.5000 0.0000 0.0000  -2.10
9 Mn 0.5000 0.0000 0.5000  -2.10
10 Mn 0.5000 0.5000 0.0000  -2.10
11 Mn 0.0000 0.5000 0.5000  -2.10
12 Mn 0.0000 0.5000 0.0000  -2.10
13 Mn 0.0000 0.0000 0.5000  -2.10
14 Mn 0.6344 0.1219 0.1219  1.81
15 Mn 0.1219 0.6344 0.1219  1.81
16 Mn 0.1219 0.1219 0.6344  1.81
17 Mn 0.1219 0.1219 0.1219  1.81
18 Mn 0.3656 0.8781 0.8781  1.81
19 Mn 0.8781 0.3656 0.8781  1.81
20 Mn 0.8781 0.8781 0.3656  1.81
21 Mn 0.8781 0.8781 0.8781  1.81
22 Mn 0.0311 0.3230 0.3230  1.63
23 Mn 0.3230 0.0311 0.3230  1.63
24 Mn 0.3230 0.3230 0.0311  1.63
25 Mn 0.3230 0.3230 0.3230  1.63
26 Mn 0.9689 0.6770 0.6770  1.63
27 Mn 0.6770 0.9689 0.6770  1.63
28 Mn 0.6770 0.6770 0.9689  1.63
29 Mn 0.6770 0.6770 0.6770  1.63

The value obtained for the magnetic moment is 0.4561 μB per atom. For the calculated formation energy, the calculation gives 11 kJ/mol of formula units. For the density, the calculation gives 8.83 g/cm3. As for the space-group type: No. 225.